Entry 1:
Cs2PaBi3O12 GGA-PBE relaxed; space-group type = R-3m; calculated density = 6.2 g/cm3; final energy = -107.250 eV per formula unit
1.0
3.9046 2.2543 6.6600
-3.9046 2.2543 6.6600
0.0000 -4.5086 6.6600
Cs Pa Bi O
2 1 3 12
direct
0.1221 0.1221 0.1221 Cs
0.8779 0.8779 0.8779 Cs
0.5000 0.5000 0.5000 Pa
0.0000 0.5000 0.5000 Bi
0.5000 0.0000 0.5000 Bi
0.5000 0.5000 0.0000 Bi
0.1704 0.1704 0.5786 O
0.1704 0.5786 0.1704 O
0.1824 0.5639 0.5639 O
0.4214 0.8296 0.8296 O
0.4361 0.4361 0.8176 O
0.4361 0.8176 0.4361 O
0.5639 0.1824 0.5639 O
0.5639 0.5639 0.1824 O
0.5786 0.1704 0.1704 O
0.8176 0.4361 0.4361 O
0.8296 0.4214 0.8296 O
0.8296 0.8296 0.4214 O

Entry 2:
Hf4In2Au GGA-PBE relaxed; space-group type = I4/mmm; calculated density = 10.1 g/cm3; energy above the most stable polymorph in this dataset = 345 meV per atom; energy of formation = 543 meV per atom; final energy = -44.769 eV per formula unit
1.0
-2.4938 2.4938 7.5443
2.4938 -2.4938 7.5443
2.4938 2.4938 -7.5443
Hf In Au
4 2 1
direct
0.0000 0.5000 0.5000 Hf
0.1783 0.1783 0.0000 Hf
0.5000 0.0000 0.5000 Hf
0.8217 0.8217 0.0000 Hf
0.3692 0.3692 0.0000 In
0.6308 0.6308 0.0000 In
0.0000 0.0000 0.0000 Au

Entry 3:
Ac6In6Ge GGA-PBE relaxed; space-group type = P6/mmm; calculated density = 7.6 g/cm3; energy of formation = -283 meV per atom; final energy = -49.375 eV per formula unit
1.0
6.8439 0.0000 0.0000
-3.4220 5.9270 0.0000
0.0000 0.0000 11.4791
Ac In Ge
6 6 1
direct
0.0000 0.0000 0.2275 Ac
0.0000 0.0000 0.7725 Ac
0.3333 0.6667 0.0000 Ac
0.3333 0.6667 0.5000 Ac
0.6667 0.3333 0.0000 Ac
0.6667 0.3333 0.5000 Ac
0.0000 0.5000 0.2469 In
0.0000 0.5000 0.7531 In
0.5000 0.0000 0.2469 In
0.5000 0.0000 0.7531 In
0.5000 0.5000 0.2469 In
0.5000 0.5000 0.7531 In
0.0000 0.0000 0.5000 Ge

Entry 4:
Mg3TlCd9 GGA-PBE relaxed; space-group type = P-1; calculated density = 6.4 g/cm3; energy of formation = 63 meV per atom; final energy = -14.572 eV per formula unit
1.0
6.2432 0.0000 0.0000
-0.2867 6.7294 0.0000
-0.0344 -0.3543 7.9946
Mg Tl Cd
3 1 9
direct
0.0000 0.0000 0.0000 Mg
0.0000 0.5000 0.5000 Mg
0.5000 0.0000 0.5000 Mg
0.0000 0.5000 0.0000 Tl
0.0000 0.0000 0.5000 Cd
0.2530 0.7555 0.7468 Cd
0.2565 0.2474 0.2498 Cd
0.2827 0.2654 0.7633 Cd
0.5000 0.0000 0.0000 Cd
0.5000 0.5000 0.5000 Cd
0.7173 0.7346 0.2367 Cd
0.7435 0.7526 0.7502 Cd
0.7470 0.2445 0.2532 Cd

Entry 5:
NdPu4Se5 GGA-PBE relaxed; space-group type = Immm; calculated density = 9.8 g/cm3; final energy = -95.488 eV per formula unit
1.0
-2.0845 2.9469 10.4079
2.0845 -2.9469 10.4079
2.0845 2.9469 -10.4079
Nd Pu Se
1 4 5
direct
0.0000 0.0000 0.0000 Nd
0.2008 0.2008 0.0000 Pu
0.4009 0.4009 0.0000 Pu
0.5991 0.5991 0.0000 Pu
0.7992 0.7992 0.0000 Pu
0.1030 0.6030 0.5000 Se
0.3008 0.8008 0.5000 Se
0.5000 0.0000 0.5000 Se
0.6992 0.1992 0.5000 Se
0.8970 0.3970 0.5000 Se

Entry 6:
AsP3N GGA-PBE relaxed; space-group type = Pm-3m; calculated density = 4.3 g/cm3; energy above the most stable polymorph in this dataset = 0 meV per atom; final energy = -24.364 eV per formula unit
1.0
4.1330 0.0000 0.0000
0.0000 4.1330 0.0000
0.0000 0.0000 4.1330
As P N
1 3 1
direct
0.0000 0.0000 0.0000 As
0.0000 0.5000 0.5000 P
0.5000 0.0000 0.5000 P
0.5000 0.5000 0.0000 P
0.5000 0.5000 0.5000 N

Entry 7:
BeAu2Br GGA-PBE relaxed; space-group type = I-42d; calculated density = 9.6 g/cm3; energy above the most stable polymorph in this dataset = 359 meV per atom; final energy = -10.982 eV per formula unit
1.0
-3.3673 3.3673 3.6874
3.3673 -3.3673 3.6874
3.3673 3.3673 -3.6874
Be Au Br
2 4 2
direct
0.0000 0.0000 0.0000 Be
0.7500 0.2500 0.5000 Be
0.0531 0.6250 0.9281 Au
0.3750 0.3031 0.4281 Au
0.6969 0.1250 0.0719 Au
0.8750 0.9469 0.5719 Au
0.2500 0.7500 0.5000 Br
0.5000 0.5000 0.0000 Br

Entry 8:
PmHoGa2Pd2 GGA-PBE relaxed; space-group type = P-3m1; calculated density = 8.9 g/cm3; energy of formation = -845 meV per atom; final energy = -30.837 eV per formula unit
1.0
4.5199 0.0000 0.0000
-2.2599 3.9143 0.0000
0.0000 0.0000 6.9757
Pm Ho Ga Pd
1 1 2 2
direct
0.0000 0.0000 0.0000 Pm
0.0000 0.0000 0.5000 Ho
0.3333 0.6667 0.2670 Ga
0.6667 0.3333 0.7330 Ga
0.3333 0.6667 0.7293 Pd
0.6667 0.3333 0.2707 Pd